1) A plane-wave DFT calculation with GGA-PBE was carried out for crystalline Sc3TaS at its relaxed geometry.

abc: 4.7848 4.7848 4.7848
angles: 90.00 90.00 90.00
With the nearest neighbours (Å) after each atom.
Fractional coordinates of all 5 atoms:
Sc1 0.0000 0.0000 0.5000  2 S 2.39
Sc2 0.0000 0.5000 0.0000  2 S 2.39
Sc3 0.5000 0.0000 0.0000  2 S 2.39
Ta1 0.5000 0.5000 0.5000  12 Sc 3.38
S1 0.0000 0.0000 0.0000  6 Sc 2.39

=====

2) A plane-wave DFT calculation with GGA-PBE was carried out for crystalline Sc3TaS at its relaxed geometry.

abc: 5.1118 5.1118 5.1118
angles: 90.00 90.00 90.00
With the nearest neighbours (Å) after each atom.
Fractional coordinates of all 5 atoms:
Sc1 0.0000 0.0000 0.5000  2 Ta 2.56
Sc2 0.0000 0.5000 0.0000  2 Ta 2.56
Sc3 0.5000 0.0000 0.0000  2 Ta 2.56
Ta1 0.0000 0.0000 0.0000  6 Sc 2.56
S1 0.5000 0.5000 0.5000  12 Sc 3.61

=====

Quick one: least stable of them? 2)

=====

1) A plane-wave DFT calculation with GGA-PBE was carried out for crystalline ScTa3S at its relaxed geometry.

abc: 4.6095 4.6095 4.6095
angles: 90.00 90.00 90.00
With the nearest neighbours (Å) after each atom.
Fractional coordinates of all 5 atoms:
Sc1 0.0000 0.0000 0.0000  12 Ta 3.26
Ta1 0.0000 0.5000 0.5000  2 S 2.30
Ta2 0.5000 0.0000 0.5000  2 S 2.30
Ta3 0.5000 0.5000 0.0000  2 S 2.30
S1 0.5000 0.5000 0.5000  6 Ta 2.30

=====

2) A plane-wave DFT calculation with GGA-PBE was carried out for crystalline ScTa3S at its relaxed geometry.

abc: 4.7841 4.7841 4.7841
angles: 90.00 90.00 90.00
With the nearest neighbours (Å) after each atom.
Fractional coordinates of all 5 atoms:
Sc1 0.0000 0.0000 0.0000  6 Ta 2.39
Ta1 0.0000 0.0000 0.5000  2 Sc 2.39
Ta2 0.0000 0.5000 0.0000  2 Sc 2.39
Ta3 0.5000 0.0000 0.0000  2 Sc 2.39
S1 0.5000 0.5000 0.5000  12 Ta 3.38

=====

Quick one: least stable of them? 2)

=====

1) A plane-wave DFT calculation with GGA-PBE was carried out for crystalline TbScS at its relaxed geometry.

abc: 6.2954 6.2954 6.2954
angles: 34.17 34.17 34.17
With the nearest neighbours (Å) after each atom.
Fractional coordinates of all 3 atoms:
Tb1 0.0000 0.0000 0.0000  3 S 2.73
Sc1 0.5066 0.5066 0.5066  3 S 2.54
S1 0.7626 0.7626 0.7626  3 Sc 2.54, 3 Tb 2.73

=====

2) A plane-wave DFT calculation with GGA-PBE was carried out for crystalline TbScS at its relaxed geometry.

abc: 3.6836 3.6836 6.0320
angles: 90.00 90.00 120.00
With the nearest neighbours (Å) after each atom.
Fractional coordinates of all 3 atoms:
Tb1 0.0000 0.0000 0.0000  3 S 2.74
Sc1 0.6667 0.3333 0.4725  3 S 2.57
S1 0.3333 0.6667 0.7124  3 Sc 2.57, 3 Tb 2.74

=====

Quick one: least stable of them? 2)

=====

1) A plane-wave DFT calculation with GGA-PBE was carried out for crystalline Tb2ScS4 at its relaxed geometry.

abc: 6.9890 10.9639 3.9465
angles: 90.00 90.00 90.00
With the nearest neighbours (Å) after each atom.
Fractional coordinates of all 14 atoms:
Tb1 0.1060 0.1859 0.0000  7 S 2.75-3.04
Tb2 0.3940 0.6859 0.0000  7 S 2.75-3.04
Tb3 0.6060 0.3141 0.0000  7 S 2.75-3.04
Tb4 0.8940 0.8141 0.0000  7 S 2.75-3.04
Sc1 0.0000 0.5000 0.5000  6 S 2.52-2.65
Sc2 0.5000 0.0000 0.5000  6 S 2.52-2.65
S1 0.1222 0.7167 0.5000  1 Sc 2.52, 4 Tb 2.75-2.76
S2 0.2404 0.4496 0.0000  2 Sc 2.65, 2 Tb 2.80-2.96
S3 0.2596 0.9496 0.0000  2 Sc 2.65, 2 Tb 2.80-2.96
S4 0.3778 0.2167 0.5000  1 Sc 2.52, 4 Tb 2.75-2.76
S5 0.6222 0.7833 0.5000  1 Sc 2.52, 4 Tb 2.75-2.76
S6 0.7404 0.0504 0.0000  2 Sc 2.65, 2 Tb 2.80-2.96
S7 0.7596 0.5504 0.0000  2 Sc 2.65, 2 Tb 2.80-2.96
S8 0.8778 0.2833 0.5000  1 Sc 2.52, 4 Tb 2.75-2.76

=====

2) A plane-wave DFT calculation with GGA-PBE was carried out for crystalline Tb2ScS4 at its relaxed geometry.

abc: 6.9463 6.8137 7.4635
angles: 90.00 105.53 90.00
With the nearest neighbours (Å) after each atom.
Fractional coordinates of all 14 atoms:
Tb1 0.1763 0.2500 0.0462  6 S 2.75-2.81
Tb2 0.1878 0.2500 0.5432  6 S 2.69-2.81
Tb3 0.8122 0.7500 0.4568  6 S 2.69-2.81
Tb4 0.8237 0.7500 0.9538  6 S 2.75-2.81
Sc1 0.3026 0.7500 0.8252  4 S 2.36-2.57
Sc2 0.6974 0.2500 0.1748  4 S 2.36-2.57
S1 0.0117 0.5037 0.7505  1 Sc 2.57, 4 Tb 2.80-2.81
S2 0.0117 0.9963 0.7505  1 Sc 2.57, 4 Tb 2.80-2.81
S3 0.4787 0.2500 0.8678  1 Sc 2.39
S4 0.4806 0.2500 0.3701  1 Sc 2.36
S5 0.5194 0.7500 0.6299  1 Sc 2.36
S6 0.5213 0.7500 0.1322  1 Sc 2.39
S7 0.9883 0.0037 0.2495  1 Sc 2.57, 4 Tb 2.80-2.81
S8 0.9883 0.4963 0.2495  1 Sc 2.57, 4 Tb 2.80-2.81

=====

Quick one: least stable of them? 2)

=====

1) A plane-wave DFT calculation with GGA-PBE was carried out for crystalline TbSc2S at its relaxed geometry.

abc: 8.8959 8.8959 8.8959
angles: 23.05 23.05 23.05
With the nearest neighbours (Å) after each atom.
Fractional coordinates of all 4 atoms:
Tb1 0.0000 0.0000 0.0000  6 Sc 3.47-3.48, 6 Tb 3.55
Sc1 0.2252 0.2252 0.2252  3 S 2.55
Sc2 0.4411 0.4411 0.4411  3 S 2.56
S1 0.8334 0.8334 0.8334  6 Sc 2.55-2.56

=====

2) A plane-wave DFT calculation with GGA-PBE was carried out for crystalline TbSc2S at its relaxed geometry.

abc: 9.6354 9.6354 9.6354
angles: 20.84 20.84 20.84
With the nearest neighbours (Å) after each atom.
Fractional coordinates of all 4 atoms:
Tb1 0.0000 0.0000 0.0000  2 Sc 3.21, 6 Tb 3.48
Sc1 0.1137 0.1137 0.1137  3 S 2.51
Sc2 0.8863 0.8863 0.8863  3 S 2.51
S1 0.5000 0.5000 0.5000  6 Sc 2.51

=====

Quick one: least stable of them? 2)

=====

1) A plane-wave DFT calculation with GGA-PBE was carried out for crystalline ScTc3S at its relaxed geometry.

abc: 4.6449 4.6449 4.6449
angles: 90.00 90.00 90.00
With the nearest neighbours (Å) after each atom.
Fractional coordinates of all 5 atoms:
Sc1 0.0000 0.0000 0.0000  6 Tc 2.32
Tc1 0.0000 0.0000 0.5000  2 Sc 2.32
Tc2 0.0000 0.5000 0.0000  2 Sc 2.32
Tc3 0.5000 0.0000 0.0000  2 Sc 2.32
S1 0.5000 0.5000 0.5000  12 Tc 3.28

=====

2) A plane-wave DFT calculation with GGA-PBE was carried out for crystalline ScTc3S at its relaxed geometry.

abc: 4.3805 4.3805 4.3805
angles: 90.00 90.00 90.00
With the nearest neighbours (Å) after each atom.
Fractional coordinates of all 5 atoms:
Sc1 0.0000 0.0000 0.0000  12 Tc 3.10
Tc1 0.0000 0.5000 0.5000  2 S 2.19
Tc2 0.5000 0.0000 0.5000  2 S 2.19
Tc3 0.5000 0.5000 0.0000  2 S 2.19
S1 0.5000 0.5000 0.5000  6 Tc 2.19

=====

Quick one: least stable of them? 1)